Record 1
DFT (PBE) results for a relaxed ZrBeTl crystal.

Cell: 6.5142 6.5142 6.5142 Å, 90.00 90.00 90.00°
Space group F-43m (No. 216)
Unique sites:
Zr  0.0000  0.0000  0.0000 (multiplicity 4)
Be  0.2500  0.2500  0.7500 (multiplicity 4)
Tl  0.2500  0.2500  0.2500 (multiplicity 4)

## Properties
- VASP energy: -0.3048 Ry/atom
- Mass density: 7.3 Mg/m³
- Energy relative to the lowest polymorph listed for this composition: 575 meV/atom


Record 2
DFT (PBE) results for a relaxed HfScCSe crystal.

Cell: 3.4619 3.4619 12.4460 Å, 90.00 90.00 120.00°
Space group P6_3mc (No. 186)
Unique sites:
Hf  0.3333  0.6667  0.0000 (multiplicity 2)
Sc  0.3333  0.6667  0.3068 (multiplicity 2)
C  0.0000  0.0000  0.4084 (multiplicity 2)
Se  0.3333  0.6667  0.6524 (multiplicity 2)

## Properties
- VASP energy: -0.6203 Ry/atom
- Mass density: 8.1 Mg/m³
- Energy relative to the lowest polymorph listed for this composition: 0 meV/atom


Record 3
DFT (PBE) results for a relaxed Rb2CuBiF6 crystal.

Cell: 8.7455 8.7455 8.7455 Å, 90.00 90.00 90.00°
Space group Fm-3m (No. 225)
Unique sites:
Rb  0.2500  0.2500  0.2500 (multiplicity 8)
Cu  0.0000  0.0000  0.0000 (multiplicity 4)
Bi  0.0000  0.0000  0.5000 (multiplicity 4)
F  0.0000  0.0000  0.2416 (multiplicity 24)

## Properties
- VASP energy: -0.3176 Ry/atom
- Mass density: 5.5 Mg/m³
- Energy relative to the lowest polymorph listed for this composition: 0 meV/atom


Record 4
DFT (PBE) results for a relaxed Er2TmLu3OsSe2 crystal.

Cell: 3.9558 13.7003 7.8373 Å, 90.00 90.00 90.00°
Space group Amm2 (No. 38)
Unique sites:
Er  0.0000  0.1988  0.0000 (multiplicity 4)
Tm  0.0000  0.0000  0.4053 (multiplicity 2)
Lu  0.5000  0.0000  0.0461 (multiplicity 2)
Lu  0.5000  0.1230  0.6782 (multiplicity 4)
Os  0.0000  0.0000  0.7976 (multiplicity 2)
Se  0.5000  0.1673  0.3008 (multiplicity 4)

## Properties
- VASP energy: -0.4300 Ry/atom
- Mass density: 10.8 Mg/m³


Record 5
DFT (PBE) results for a relaxed MoIr6W crystal.

Cell: 5.5436 5.5436 4.4223 Å, 90.00 90.00 120.00°
Space group P-6m2 (No. 187)
Unique sites:
Mo  0.0000  0.0000  0.0000 (multiplicity 1)
Ir  0.3331  0.1666  0.5000 (multiplicity 3)
Ir  0.5006  0.0013  0.0000 (multiplicity 3)
W  0.3333  0.6667  0.5000 (multiplicity 1)

## Properties
- VASP energy: -0.7321 Ry/atom
- Mass density: 20.2 Mg/m³
- ΔE_f: -343 meV/atom


Record 6
DFT (PBE) results for a relaxed KAlCuS3 crystal.

Cell: 14.4988 3.5326 9.9439 Å, 90.00 90.00 90.00°
Space group Pnma (No. 62)
Unique sites:
K  0.2365  0.2500  0.0495 (multiplicity 4)
Al  0.0238  0.2500  0.3624 (multiplicity 4)
Cu  0.0118  0.7500  0.0959 (multiplicity 4)
S  0.0850  0.2500  0.5819 (multiplicity 4)
S  0.0866  0.7500  0.8889 (multiplicity 4)
S  0.1175  0.7500  0.2695 (multiplicity 4)

## Properties
- VASP energy: -0.3161 Ry/atom
- Mass density: 2.9 Mg/m³


- VASP energy of number 2 (HfScCSe)?
  -0.6203 Ry/atom


- The lowest mass density belongs to which entry?
  KAlCuS3


- VASP energy of number 6 (KAlCuS3)?
  -0.3161 Ry/atom